No. 1
This record from Alexandria via LeMat-Bulk describes Ce2SmYSb5 after structural relaxation. The functional is GGA-PBE.

Energy relative to the elements, uncorrected ... -1.94 eV/f.u.
Space group ... P4/mmm (123)

Cell and atoms, written as POSCAR:
```
Ce2SmYSb5
1.0
5.388 0.000 0.000
0.000 5.388 0.000
0.000 0.000 11.618
Ce Sm Y Sb
2 1 1 5
direct
0.000 0.000 0.215
0.000 0.000 0.785
0.500 0.500 0.000
0.500 0.500 0.500
0.000 0.000 0.500
0.000 0.500 0.000
0.500 0.000 0.000
0.500 0.500 0.255
0.500 0.500 0.745
```

=====

No. 2
This record from Alexandria via LeMat-Bulk describes Ce2SmY3Sb6 after structural relaxation. The functional is GGA-PBE.

Energy relative to the elements, uncorrected ... -13.56 eV/f.u.
Space group ... C2/m (12)

Cell and atoms, written as POSCAR:
```
Ce2SmY3Sb6
1.0
3.850 -6.667 0.000
3.850 6.667 0.000
-2.565 0.000 7.242
Ce Sm Y Sb
2 1 3 6
direct
0.167 0.833 0.000
0.833 0.167 0.000
0.500 0.500 0.000
0.000 0.000 0.500
0.333 0.667 0.500
0.667 0.333 0.500
0.081 0.415 0.745
0.252 0.252 0.256
0.415 0.081 0.745
0.585 0.919 0.255
0.748 0.748 0.744
0.919 0.585 0.255
```